VASP calculation (PBE) on an optimized crystal structure of SnMo2Au.

```
SnMo2Au
1.0
6.5615 0.0000 0.0000
0.0000 6.5615 0.0000
0.0000 0.0000 6.5615
Sn Mo Au
4 8 4
direct
0.0000 0.0000 0.0000
0.0000 0.5000 0.5000
0.5000 0.0000 0.5000
0.5000 0.5000 0.0000
0.0000 0.0000 0.5000
0.0000 0.5000 0.0000
0.2500 0.2500 0.7500
0.2500 0.7500 0.2500
0.5000 0.0000 0.0000
0.5000 0.5000 0.5000
0.7500 0.2500 0.2500
0.7500 0.7500 0.7500
0.2500 0.2500 0.2500
0.2500 0.7500 0.7500
0.7500 0.2500 0.7500
0.7500 0.7500 0.2500
```

Space-group type = F-43m (216)
Calculated total energy = -0.24959 Ha/atom
V = 282.5 Å³ per cell